A plane-wave DFT calculation with PBE-GGA was carried out for a relaxed Cs2NpBe2Se4 crystal.

Values from the calculation:
Crystal system: monoclinic
Total energy (eV per atom): -4.88
Raw formation energy (eV/atom): -0.88

Unit cell a=7.983 b=7.983 c=8.630 alpha=108.68 beta=108.68 gamma=28.81
Sites, in units of the cell vectors:
Cs1 0.135 0.135 0.043
Cs2 0.865 0.865 0.957
Np1 0.000 0.000 0.500
Be1 0.330 0.330 0.527
Be2 0.670 0.670 0.473
Se1 0.205 0.205 0.631
Se2 0.465 0.465 0.725
Se3 0.535 0.535 0.275
Se4 0.795 0.795 0.369